1.
First-principles (GGA-PBE) data for YGaTeI2 after structural relaxation, as listed in Alexandria.

Structure (POSCAR):
```
YGaTeI2
1.0
-3.906 -3.402 -1.921
3.907 -3.440 -1.851
-0.056 -2.667 4.837
I Y Te Ga
2 1 1 1
Direct
0.000 0.500 0.000 I
0.500 0.000 0.000 I
0.500 0.500 0.500 Y
0.000 0.000 0.500 Te
0.000 0.000 0.000 Ga
```

SG: P4/mmm, No. 123
Raw total energy: -0.2439 Ry/atom
D(E_F): 0.616 states/eV/atom
Total magnetization: 0.4 μB/f.u.
Formation energy without anion corrections: -0.1721 eV per atom
Polymorph energy (0 for the lowest one): 530 meV per atom

***

2.
First-principles (GGA-PBE) data for YGaTe2I after structural relaxation, as listed in Alexandria.

Structure (POSCAR):
```
YGaTe2I
1.0
5.461 0.000 0.000
0.000 5.461 0.000
0.000 0.000 5.353
I Y Te Ga
1 1 2 1
Direct
0.000 0.000 0.500 I
0.500 0.500 0.500 Y
0.000 0.500 0.000 Te
0.500 0.000 0.000 Te
0.000 0.000 0.000 Ga
```

SG: P4/mmm, No. 123
Raw total energy: -0.2708 Ry/atom
D(E_F): 0.394 states/eV/atom
Total magnetization: 0.0 μB/f.u.
Formation energy without anion corrections: -0.2196 eV per atom
Polymorph energy (0 for the lowest one): 270 meV per atom

***

3.
First-principles (GGA-PBE) data for YGaTe2I after structural relaxation, as listed in Alexandria.

Structure (POSCAR):
```
YGaTe2I
1.0
5.879 0.000 0.000
0.000 5.879 0.000
0.000 0.000 6.075
I Y Te Ga
1 1 2 1
Direct
0.000 0.000 0.500 I
0.000 0.000 0.000 Y
0.000 0.500 0.000 Te
0.500 0.000 0.000 Te
0.500 0.500 0.500 Ga
```

SG: P4/mmm, No. 123
Raw total energy: -0.2907 Ry/atom
D(E_F): 1.201 states/eV/atom
Total magnetization: 0.0 μB/f.u.
Formation energy without anion corrections: -0.4898 eV per atom
Polymorph energy (0 for the lowest one): 0 meV per atom

***

4.
First-principles (GGA-PBE) data for ZrGaTe2I after structural relaxation, as listed in Alexandria.

Structure (POSCAR):
```
ZrGaTe2I
1.0
-0.117 -5.360 -0.353
3.396 0.200 -4.159
4.132 -0.311 3.360
I Te Ga Zr
1 2 1 1
Direct
0.000 0.000 0.500 I
0.000 0.500 0.000 Te
0.500 0.000 0.000 Te
0.000 0.000 0.000 Ga
0.500 0.500 0.500 Zr
```

SG: P4/mmm, No. 123
Raw total energy: -0.2569 Ry/atom
D(E_F): 1.196 states/eV/atom
Total magnetization: 1.3 μB/f.u.
Formation energy without anion corrections: 0.3869 eV per atom
Polymorph energy (0 for the lowest one): 702 meV per atom

***

5.
First-principles (GGA-PBE) data for ZrGaTe2I after structural relaxation, as listed in Alexandria.

Structure (POSCAR):
```
ZrGaTe2I
1.0
-1.434 1.476 -5.249
4.900 -2.032 -1.910
-2.474 -5.221 -0.792
I Te Ga Zr
1 2 1 1
Direct
0.000 0.000 0.500 I
0.000 0.500 0.000 Te
0.500 0.000 0.000 Te
0.500 0.500 0.500 Ga
0.000 0.000 0.000 Zr
```

SG: P4/mmm, No. 123
Raw total energy: -0.3085 Ry/atom
D(E_F): 0.357 states/eV/atom
Total magnetization: 0.0 μB/f.u.
Formation energy without anion corrections: -0.3151 eV per atom
Polymorph energy (0 for the lowest one): 0 meV per atom

***

6.
First-principles (GGA-PBE) data for ThGa2I6 after structural relaxation, as listed in Alexandria.

Structure (POSCAR):
```
ThGa2I6
1.0
-3.371 -1.874 7.035
5.587 -6.506 0.945
7.392 7.240 6.147
Th Ga I
2 4 12
Direct
0.500 0.500 0.000 Th
0.000 0.000 0.500 Th
0.013 0.615 0.821 Ga
0.487 0.115 0.679 Ga
0.513 0.885 0.321 Ga
0.987 0.385 0.179 Ga
0.153 0.054 0.264 I
0.170 0.295 0.581 I
0.180 0.316 0.948 I
0.320 0.816 0.552 I
0.330 0.795 0.919 I
0.347 0.554 0.236 I
0.847 0.946 0.736 I
0.830 0.705 0.419 I
0.820 0.684 0.052 I
0.680 0.184 0.448 I
0.670 0.205 0.081 I
0.653 0.446 0.764 I
```

SG: P2_1/c, No. 14
Raw total energy: -0.2478 Ry/atom
D(E_F): 0.000 states/eV/atom
Total magnetization: 0.0 μB/f.u.
Formation energy without anion corrections: -0.8416 eV per atom

***

7.
First-principles (GGA-PBE) data for ThGa3I6 after structural relaxation, as listed in Alexandria.

Structure (POSCAR):
```
ThGa3I6
1.0
8.089 0.000 0.773
0.000 8.603 0.000
0.996 0.000 12.583
Th Ga I
2 6 12
Direct
0.500 0.500 0.500 Th
0.000 0.000 0.000 Th
0.515 0.739 0.834 Ga
0.500 0.500 0.000 Ga
0.485 0.261 0.166 Ga
0.015 0.761 0.334 Ga
0.000 0.000 0.500 Ga
0.985 0.239 0.666 Ga
0.716 0.172 0.909 I
0.643 0.185 0.554 I
0.716 0.492 0.275 I
0.284 0.508 0.725 I
0.357 0.815 0.446 I
0.284 0.828 0.091 I
0.216 0.328 0.409 I
0.143 0.315 0.054 I
0.216 0.008 0.775 I
0.784 0.992 0.225 I
0.857 0.685 0.946 I
0.784 0.672 0.591 I
```

SG: P2_1/c, No. 14
Raw total energy: -0.2356 Ry/atom
D(E_F): 0.116 states/eV/atom
Total magnetization: 1.0 μB/f.u.
Formation energy without anion corrections: -0.6250 eV per atom

***

8.
First-principles (GGA-PBE) data for ThGa2I8 after structural relaxation, as listed in Alexandria.

Structure (POSCAR):
```
ThGa2I8
1.0
7.579 0.563 0.427
0.785 9.182 -0.467
0.785 2.023 8.968
Th Ga I
1 2 8
Direct
0.000 0.000 0.000 Th
0.687 0.786 0.786 Ga
0.313 0.214 0.214 Ga
0.211 0.270 0.916 I
0.789 0.084 0.730 I
0.287 0.812 0.812 I
0.713 0.188 0.188 I
0.211 0.916 0.270 I
0.789 0.730 0.084 I
0.872 0.602 0.602 I
0.128 0.398 0.398 I
```

SG: C2/m, No. 12
Raw total energy: -0.2243 Ry/atom
Total magnetization: 0.0 μB/f.u.
Formation energy without anion corrections: -0.6992 eV per atom